Ho2BiO | GGA-PBE | relaxed

Unit cell a=3.622 b=3.622 c=22.473 alpha=90.00 beta=90.00 gamma=120.00
Atoms (fractional coordinates):
1 Ho 0.000 0.000 0.222
2 Ho 0.000 0.000 0.778
3 Ho 0.333 0.667 0.444
4 Ho 0.333 0.667 0.889
5 Ho 0.667 0.333 0.111
6 Ho 0.667 0.333 0.556
7 Bi 0.000 0.000 0.000
8 Bi 0.333 0.667 0.667
9 Bi 0.667 0.333 0.333
10 O 0.000 0.000 0.500
11 O 0.333 0.667 0.167
12 O 0.667 0.333 0.833

Values from the calculation:
Magnetization = 0.0 μB per formula unit
ΔE to the lowest computed polymorph = 0.2273 eV per atom